Entry 1:
ScSeN2F PBEsol relaxed; Fermi-level density of states = 0.581 states/eV/atom; distance to the lowest polymorph of the same formula = 475 kJ/mol of formula units; formation energy without anion corrections = 0.897 eV per atom
1.0
-0.047 -0.063 -3.881
4.006 -0.004 -0.048
-0.003 -4.006 0.066
Sc N Se F
1 2 1 1
direct
0.500 0.500 0.500
0.000 0.000 0.500
0.000 0.500 0.000
0.500 0.000 0.000
0.000 0.000 0.000

=====

Entry 2:
ScSeN2F PBEsol relaxed; Fermi-level density of states = 0.689 states/eV/atom; distance to the lowest polymorph of the same formula = 0 kJ/mol of formula units; formation energy without anion corrections = -0.088 eV per atom
1.0
-2.775 -2.387 1.109
2.731 -3.231 -0.117
1.010 0.707 4.049
Sc N Se F
1 2 1 1
direct
0.000 0.000 0.000
0.000 0.000 0.500
0.000 0.500 0.000
0.500 0.500 0.500
0.500 0.000 0.000

=====

The records above give, respectively, V values of 62.3; 68.5 Å³/f.u..